## LaMg2Ta (PBE)

Data for a relaxed LaMg2Ta crystal.

Lattice parameters (Å, degrees): 3.0906 4.7604 6.3090 90.00 90.00 90.00
Fractional positions:
La 0.5000 0.5000 0.7500
Mg 0.0000 0.0000 0.0288
Mg 0.0000 0.0000 0.4712
Ta 0.5000 0.5000 0.2500

Computed properties:
* crystal system: orthorhombic
* ρ: 6592 kg/m³
* total DFT energy (no corrections): -18.65 eV per cell
* space group: No. 47
* offset from the most stable computed form: 0.093 eV per atom
* N(E_F): 1.109 states/eV per atom